First-principles (GGA+U) data for a relaxed Ac2CrO5 crystal, as listed in Alexandria via LeMat-Bulk.

The structure belongs to space group Pnma (No. 62); the cell edges are 11.3197, 4.1401 and 11.4402 Å and the angles 90.00°, 90.00° and 90.00°. The distinct sites, in fractional coordinates, are Ac at (0.0851, 0.2500, 0.2119), Ac at (0.1389, 0.2500, 0.5596), Cr at (0.2007, 0.2500, 0.8660), O at (0.0121, 0.7500, 0.5997), O at (0.0513, 0.2500, 0.8181), O at (0.2064, 0.7500, 0.2334), O at (0.2250, 0.2500, 0.0248) and O at (0.2376, 0.7500, 0.8688).

The value obtained for the total magnetization is 2.0 μB/f.u. The value obtained for the uncorrected energy is -7.84 eV per atom.